(1)
Below is CaAcAsO after structural relaxation, with properties calculated at the GGA-PBE level.

Cell: 4.5418 4.5418 9.3906 Å, 90.00 90.00 90.00°
Space group P4/nmm (No. 129, origin choice 2)
Unique sites:
Ca1 0.2500 0.7500 0.0000 x2
Ac1 0.2500 0.2500 0.3325 x2
As1 0.2500 0.2500 0.6956 x2
O1 0.2500 0.2500 0.0760 x2


(2)
Below is TbThTeC after structural relaxation, with properties calculated at the GGA-PBE level.

Cell: 3.8660 3.8660 22.0007 Å, 90.00 90.00 120.00°
Space group R3m (No. 160, hexagonal axes)
Unique sites:
Tb1 0.0000 0.0000 0.0000 x3
Th1 0.0000 0.0000 0.7919 x3
Te1 0.0000 0.0000 0.5663 x3
C1 0.0000 0.0000 0.3962 x3


(3)
Below is EuLuH after structural relaxation, with properties calculated at the GGA-PBE level.

Cell: 3.5983 3.5983 5.8588 Å, 90.00 90.00 120.00°
Space group P3m1 (No. 156)
Unique sites:
Eu1 0.0000 0.0000 0.0000 x1
Lu1 0.3333 0.6667 0.4874 x1
H1 0.6667 0.3333 0.2725 x1


Raw total energy, respectively: -48.71, -83.06, -18.63 eV for the cell shown.
Density of states at the Fermi level, respectively: 0.093, 0.636, 1.075 states/eV per atom.